A plane-wave DFT calculation with GGA-PBE was carried out for crystalline Zr2Tl2CoS6 at its relaxed geometry.

Cell lengths 6.2630, 10.8313, 8.0067 Å; angles 90.00, 106.14, 90.00 degrees
Space group C2/m (No. 12)
Asymmetric unit:
Zr 0.0000 0.1698 0.0000 [4 per cell]
Tl 0.0000 0.3277 0.5000 [4 per cell]
Co 0.0000 0.5000 0.0000 [2 per cell]
S 0.2298 0.3431 0.1880 [8 per cell]
S 0.2403 0.5000 0.8223 [4 per cell]

## Properties
- Total DFT energy (no corrections): -5.818 eV per atom
- Uncorrected formation energy: -0.936 eV/atom